Record 1
First-principles (PBE-GGA) data for a relaxed BaFe2Cu crystal, as listed in the Alexandria database.

Results
Symmetry: No. 47
Density in Mg/m³: 6.7
Fermi-level density of states in states/eV/cell: 4.54
ΔH_f (0 K) in kJ/mol of formula units: 371
E_tot in eV per formula unit: -19.10

abc: 3.292 4.771 4.967
angles: 90.00 90.00 90.00
Each line ends with the local moment (μB).
Sites, in units of the cell vectors:
Ba 0.500 0.000 0.500  -0.11
Cu 0.000 0.500 0.500  0.02
Fe 0.000 0.000 0.000  2.66
Fe 0.500 0.500 0.000  3.00

***

Record 2
First-principles (PBE-GGA) data for a relaxed BaFe3Cu crystal, as listed in the Alexandria database.

Results
Relative energy among the computed polymorphs in meV per atom: 1534
Symmetry: No. 221
Density in Mg/m³: 5.3
Fermi-level density of states in states/eV/cell: 6.55
ΔH_f (0 K) in kJ/mol of formula units: 1193
E_tot in eV per formula unit: -19.05

abc: 4.870 4.870 4.870
angles: 90.00 90.00 90.00
Each line ends with the local moment (μB).
Sites, in units of the cell vectors:
Ba 0.000 0.000 0.000  -0.23
Cu 0.500 0.500 0.500  0.03
Fe 0.000 0.500 0.000  2.60
Fe 0.000 0.000 0.500  2.46
Fe 0.500 0.000 0.000  2.40

***

Record 3
First-principles (PBE-GGA) data for a relaxed BaFe2Cu crystal, as listed in the Alexandria database.

Results
Symmetry: No. 139
Density in Mg/m³: 6.7
Fermi-level density of states in states/eV/cell: 4.42
ΔH_f (0 K) in kJ/mol of formula units: 368
E_tot in eV per formula unit: -19.14

abc: 5.446 5.446 5.446
angles: 135.83 135.83 64.25
Each line ends with the local moment (μB).
Sites, in units of the cell vectors:
Ba 0.250 0.750 0.500  -0.12
Cu 0.750 0.250 0.500  -0.02
Fe 0.000 0.000 0.000  2.68
Fe 0.500 0.500 0.000  2.68

***

Record 4
First-principles (PBE-GGA) data for a relaxed Ba2FeCu crystal, as listed in the Alexandria database.

Results
Relative energy among the computed polymorphs in meV per atom: 137
Symmetry: No. 99
Density in Mg/m³: 5.4
Fermi-level density of states in states/eV/cell: 7.25
ΔH_f (0 K) in kJ/mol of formula units: 183
E_tot in eV per formula unit: -14.50

abc: 3.614 3.614 9.325
angles: 90.00 90.00 90.00
Each line ends with the local moment (μB).
Sites, in units of the cell vectors:
Ba 0.000 0.000 0.916  -0.08
Ba 0.500 0.500 0.338  -0.02
Cu 0.000 0.000 0.587  0.08
Fe 0.500 0.500 0.659  2.88